# 1
# KVSnBr2 (PBE-GGA, relaxed)
data_KVSnBr2
_chemical_formula_sum 'K1 V1 Sn1 Br2'
_symmetry_space_group_name_H-M 'P 4/m m m'
_symmetry_Int_Tables_number 123
_symmetry_space_group_name_Hall '-P 4 2'
_cell_length_a 5.2229
_cell_length_b 5.2229
_cell_length_c 5.2904
_cell_angle_alpha 90.00
_cell_angle_beta 90.00
_cell_angle_gamma 90.00
loop_
_atom_site_label
_atom_site_type_symbol
_atom_site_fract_x
_atom_site_fract_y
_atom_site_fract_z
K1 K 0.0000 0.0000 0.0000
V1 V 0.5000 0.5000 0.5000
Sn1 Sn 0.5000 0.5000 0.0000
Br1 Br 0.0000 0.5000 0.5000
# - ΔE_f (raw) (meV/atom) = -273

***

# 2
# CoPtC2Se (PBE-GGA, relaxed)
data_CoPtC2Se
_chemical_formula_sum 'Co1 Pt1 C2 Se1'
_symmetry_space_group_name_H-M 'P 4/m m m'
_symmetry_Int_Tables_number 123
_symmetry_space_group_name_Hall '-P 4 2'
_cell_length_a 3.8900
_cell_length_b 3.8900
_cell_length_c 4.8847
_cell_angle_alpha 90.00
_cell_angle_beta 90.00
_cell_angle_gamma 90.00
loop_
_atom_site_label
_atom_site_type_symbol
_atom_site_fract_x
_atom_site_fract_y
_atom_site_fract_z
Co1 Co 0.0000 0.0000 0.0000
Pt1 Pt 0.5000 0.5000 0.0000
C1 C 0.0000 0.5000 0.5000
Se1 Se 0.5000 0.5000 0.5000
# - ΔE_f (raw) (meV/atom) = 2468

***

# 3
# CrAs2Cl (PBE-GGA, relaxed)
data_CrAs2Cl
_chemical_formula_sum 'Cr1 As2 Cl1'
_symmetry_space_group_name_H-M 'P 4 m m'
_symmetry_Int_Tables_number 99
_cell_length_a 3.4042
_cell_length_b 3.4042
_cell_length_c 7.3977
_cell_angle_alpha 90.00
_cell_angle_beta 90.00
_cell_angle_gamma 90.00
loop_
_symmetry_equiv_pos_as_xyz
'x,y,z'
'-y,x,z'
'-x,-y,z'
'y,-x,z'
'-x,y,z'
'y,x,z'
'x,-y,z'
'-y,-x,z'
loop_
_atom_site_label
_atom_site_type_symbol
_atom_site_fract_x
_atom_site_fract_y
_atom_site_fract_z
Cr1 Cr 0.0000 0.0000 0.0000
As1 As 0.0000 0.0000 0.3757
As2 As 0.5000 0.5000 0.2281
Cl1 Cl 0.5000 0.5000 0.8018
# - excess energy over the best structure of this formula in the dataset (meV/atom) = 258
# - ΔE_f (raw) (meV/atom) = 26

***

# 4
# BeAlRuAu (PBE-GGA, relaxed)
data_BeAlRuAu
_chemical_formula_sum 'Be4 Al4 Ru4 Au4'
_symmetry_space_group_name_H-M 'F -4 3 m'
_symmetry_Int_Tables_number 216
_symmetry_space_group_name_Hall 'F -4 2 3'
_cell_length_a 5.9577
_cell_length_b 5.9577
_cell_length_c 5.9577
_cell_angle_alpha 90.00
_cell_angle_beta 90.00
_cell_angle_gamma 90.00
loop_
_atom_site_label
_atom_site_type_symbol
_atom_site_fract_x
_atom_site_fract_y
_atom_site_fract_z
Be1 Be 0.0000 0.0000 0.0000
Al1 Al 0.0000 0.0000 0.5000
Ru1 Ru 0.2500 0.2500 0.2500
Au1 Au 0.2500 0.2500 0.7500
# - calculated formation energy (meV/atom) = -334
# - excess energy over the best structure of this formula in the dataset (meV/atom) = 58

***

# 5
# BaZnRu (PBE-GGA, relaxed)
data_BaZnRu
_chemical_formula_sum 'Ba4 Zn4 Ru4'
_symmetry_space_group_name_H-M 'F -4 3 m'
_symmetry_Int_Tables_number 216
_symmetry_space_group_name_Hall 'F -4 2 3'
_cell_length_a 7.2701
_cell_length_b 7.2701
_cell_length_c 7.2701
_cell_angle_alpha 90.00
_cell_angle_beta 90.00
_cell_angle_gamma 90.00
loop_
_atom_site_label
_atom_site_type_symbol
_atom_site_fract_x
_atom_site_fract_y
_atom_site_fract_z
Ba1 Ba 0.0000 0.0000 0.0000
Zn1 Zn 0.2500 0.2500 0.7500
Ru1 Ru 0.2500 0.2500 0.2500
# - calculated formation energy (meV/atom) = 1320